[1]
# Cs2RbHoI6 GGA-PBE optimized geometry
data_Cs2RbHoI6
_chemical_formula_sum 'Cs4 Rb2 Ho2 I12'
_space_group_name_H-M_alt 'P 1'
_space_group_IT_number 1
_space_group_name_Hall 'P 1'
_cell_length_a 8.710
_cell_length_b 13.020
_cell_length_c 10.057
_cell_angle_alpha 90.00
_cell_angle_beta 90.00
_cell_angle_gamma 90.00
loop_
_atom_site_label
_atom_site_fract_x
_atom_site_fract_y
_atom_site_fract_z
Cs1 0.250 0.043 0.180
Cs2 0.250 0.457 0.180
Cs3 0.750 0.543 0.820
Cs4 0.750 0.957 0.820
Rb1 0.250 0.250 0.694
Rb2 0.750 0.750 0.306
Ho1 0.250 0.750 0.798
Ho2 0.750 0.250 0.202
I1 0.003 0.250 0.405
I2 0.012 0.750 0.020
I3 0.250 0.517 0.797
I4 0.250 0.983 0.797
I5 0.488 0.750 0.020
I6 0.497 0.250 0.405
I7 0.503 0.750 0.595
I8 0.512 0.250 0.980
I9 0.750 0.017 0.203
I10 0.750 0.483 0.203
I11 0.988 0.250 0.980
I12 0.997 0.750 0.595
# SG = No. 59
# magnetic moment = 0.0 μB per cell
# E_tot = -31.40 eV per formula unit
# energy relative to the elements, uncorrected = -1.48 eV per atom
# calculated volume = 1140 Å³/cell

[2]
# BaFeAs3 GGA-PBE optimized geometry
data_BaFeAs3
_chemical_formula_sum 'Ba1 Fe1 As3'
_space_group_name_H-M_alt 'P 1'
_space_group_IT_number 1
_space_group_name_Hall 'P 1'
_cell_length_a 5.746
_cell_length_b 5.746
_cell_length_c 5.746
_cell_angle_alpha 90.00
_cell_angle_beta 90.00
_cell_angle_gamma 90.00
loop_
_atom_site_label
_atom_site_fract_x
_atom_site_fract_y
_atom_site_fract_z
Ba1 0.000 0.000 0.000
Fe1 0.500 0.500 0.500
As1 0.000 0.000 0.500
As2 0.000 0.500 0.000
As3 0.500 0.000 0.000
# energy relative to the lowest polymorph listed for this composition = 2.155 eV/atom
# SG = No. 221
# magnetic moment = 0.6 μB per cell
# E_tot = -14.22 eV per formula unit
# calculated volume = 190 Å³/cell

[3]
# V4Cr2Mo GGA-PBE optimized geometry
data_V4Cr2Mo
_chemical_formula_sum 'V4 Cr2 Mo1'
_space_group_name_H-M_alt 'P 1'
_space_group_IT_number 1
_space_group_name_Hall 'P 1'
_cell_length_a 6.679
_cell_length_b 6.679
_cell_length_c 6.679
_cell_angle_alpha 140.64
_cell_angle_beta 140.64
_cell_angle_gamma 56.88
loop_
_atom_site_label
_atom_site_fract_x
_atom_site_fract_y
_atom_site_fract_z
V1 0.000 0.500 0.500
V2 0.208 0.208 0.000
V3 0.500 0.000 0.500
V4 0.792 0.792 0.000
Cr1 0.377 0.377 0.000
Cr2 0.623 0.623 0.000
Mo1 0.000 0.000 0.000
# energy relative to the lowest polymorph listed for this composition = 1.040 eV/atom
# SG = No. 139
# magnetic moment = 1.3 μB per cell
# E_tot = -58.00 eV per formula unit
# calculated volume = 119 Å³/cell

[4]
# MgPRu2Se GGA-PBE optimized geometry
data_MgPRu2Se
_chemical_formula_sum 'Mg1 P1 Ru2 Se1'
_space_group_name_H-M_alt 'P 1'
_space_group_IT_number 1
_space_group_name_Hall 'P 1'
_cell_length_a 4.719
_cell_length_b 4.719
_cell_length_c 4.504
_cell_angle_alpha 90.00
_cell_angle_beta 90.00
_cell_angle_gamma 90.00
loop_
_atom_site_label
_atom_site_fract_x
_atom_site_fract_y
_atom_site_fract_z
Mg1 0.000 0.000 0.000
P1 0.500 0.500 0.500
Ru1 0.000 0.500 0.000
Ru2 0.500 0.000 0.000
Se1 0.000 0.000 0.500
# SG = No. 123
# magnetic moment = 2.7 μB per cell
# E_tot = -20.81 eV per formula unit
# energy relative to the elements, uncorrected = 1.65 eV per atom
# calculated volume = 100 Å³/cell

[5]
# TaCdTc2 GGA-PBE optimized geometry
data_TaCdTc2
_chemical_formula_sum 'Ta1 Cd1 Tc2'
_space_group_name_H-M_alt 'P 1'
_space_group_IT_number 1
_space_group_name_Hall 'P 1'
_cell_length_a 3.367
_cell_length_b 3.367
_cell_length_c 6.057
_cell_angle_alpha 90.00
_cell_angle_beta 90.00
_cell_angle_gamma 90.00
loop_
_atom_site_label
_atom_site_fract_x
_atom_site_fract_y
_atom_site_fract_z
Ta1 0.000 0.000 0.000
Cd1 0.500 0.500 0.702
Tc1 0.000 0.000 0.423
Tc2 0.500 0.500 0.217
# SG = No. 99
# magnetic moment = 0.0 μB per cell
# E_tot = -32.45 eV per formula unit
# calculated volume = 69 Å³/cell

[6]
# NaIn3Bi GGA-PBE optimized geometry
data_NaIn3Bi
_chemical_formula_sum 'Na1 In3 Bi1'
_space_group_name_H-M_alt 'P 1'
_space_group_IT_number 1
_space_group_name_Hall 'P 1'
_cell_length_a 5.953
_cell_length_b 5.953
_cell_length_c 5.953
_cell_angle_alpha 90.00
_cell_angle_beta 90.00
_cell_angle_gamma 90.00
loop_
_atom_site_label
_atom_site_fract_x
_atom_site_fract_y
_atom_site_fract_z
Na1 0.000 0.000 0.000
In1 0.000 0.500 0.500
In2 0.500 0.000 0.500
In3 0.500 0.500 0.000
Bi1 0.500 0.500 0.500
# energy relative to the lowest polymorph listed for this composition = 0.450 eV/atom
# SG = No. 221
# magnetic moment = 0.0 μB per cell
# E_tot = -11.53 eV per formula unit
# calculated volume = 211 Å³/cell

[7]
# Y2ZnSi GGA-PBE optimized geometry
data_Y2ZnSi
_chemical_formula_sum 'Y2 Zn1 Si1'
_space_group_name_H-M_alt 'P 1'
_space_group_IT_number 1
_space_group_name_Hall 'P 1'
_cell_length_a 4.889
_cell_length_b 4.889
_cell_length_c 3.686
_cell_angle_alpha 90.00
_cell_angle_beta 90.00
_cell_angle_gamma 90.00
loop_
_atom_site_label
_atom_site_fract_x
_atom_site_fract_y
_atom_site_fract_z
Y1 0.000 0.500 0.000
Y2 0.500 0.000 0.000
Zn1 0.000 0.000 0.500
Si1 0.500 0.500 0.500
# SG = No. 123
# magnetic moment = 0.0 μB per cell
# E_tot = -21.56 eV per formula unit
# energy relative to the elements, uncorrected = -0.48 eV per atom
# calculated volume = 88 Å³/cell

[8]
# Th4P2PtSe GGA-PBE optimized geometry
data_Th4P2PtSe
_chemical_formula_sum 'Th4 P2 Pt1 Se1'
_space_group_name_H-M_alt 'P 1'
_space_group_IT_number 1
_space_group_name_Hall 'P 1'
_cell_length_a 7.284
_cell_length_b 4.092
_cell_length_c 7.345
_cell_angle_alpha 90.00
_cell_angle_beta 109.09
_cell_angle_gamma 90.00
loop_
_atom_site_label
_atom_site_fract_x
_atom_site_fract_y
_atom_site_fract_z
Th1 0.241 0.000 0.234
Th2 0.243 0.500 0.752
Th3 0.757 0.500 0.248
Th4 0.759 0.000 0.766
P1 0.000 0.500 0.000
P2 0.500 0.000 0.000
Pt1 0.000 0.000 0.500
Se1 0.500 0.500 0.500
# SG = No. 10
# magnetic moment = 0.0 μB per cell
# E_tot = -61.64 eV per formula unit
# energy relative to the elements, uncorrected = -1.45 eV per atom
# calculated volume = 207 Å³/cell

What is the E_tot in the eighth record? -61.64 eV per formula unit

Which value of calculated volume does entry 8 give? 207 Å³/cell